Ti3NiSb2P6O24 | PBE with a Hubbard U | optimized geometry

Results
- DOS(E_F): 11.242 states/eV/cell
- Crystal system: trigonal
- E: -7.36 eV per atom
- Total magnetization: 4.044 μB per cell

Unit cell a=8.969 b=8.969 c=8.969 alpha=57.93 beta=57.93 gamma=57.93
Site moments in Bohr magnetons follow the coordinates.
Atoms (fractional coordinates):
Ti 0.145 0.145 0.145  0.60
Ti 0.347 0.347 0.347  0.60
Ti 0.648 0.648 0.648  0.58
Ni 0.847 0.847 0.847  1.81
Sb 0.983 0.983 0.983  0.01
Sb 0.484 0.484 0.484  0.04
P 0.043 0.465 0.751  0.01
P 0.465 0.751 0.043  0.01
P 0.251 0.959 0.542  0.01
P 0.542 0.251 0.959  0.01
P 0.959 0.542 0.251  0.01
P 0.751 0.043 0.465  0.01
O 0.120 0.506 0.298  -0.01
O 0.298 0.120 0.506  -0.01
O 0.060 0.279 0.921  0.00
O 0.506 0.298 0.120  -0.01
O 0.030 0.627 0.772  0.03
O 0.240 0.422 0.583  0.00
O 0.279 0.921 0.060  0.00
O 0.422 0.583 0.240  0.00
O 0.201 0.994 0.385  -0.01
O 0.583 0.240 0.422  0.00
O 0.075 0.950 0.730  0.02
O 0.385 0.201 0.994  -0.01
O 0.627 0.772 0.030  0.03
O 0.921 0.060 0.279  0.00
O 0.414 0.771 0.574  -0.01
O 0.772 0.030 0.627  0.03
O 0.574 0.414 0.771  -0.01
O 0.730 0.075 0.950  0.02
O 0.771 0.574 0.414  -0.01
O 0.994 0.385 0.201  -0.01
O 0.500 0.696 0.888  0.00
O 0.950 0.730 0.075  0.02
O 0.696 0.888 0.500  0.00
O 0.888 0.500 0.696  0.00